# CoGeO3 | OQMD via LeMat-Bulk | PBE+U | optimized geometry
# Raw total energy = -0.212 Ha/atom
# Size of the total moment = 3.0 μB/cell
data_CoGeO3
_space_group_name_H-M_alt 'P m -3 m'
_space_group_IT_number 221
_space_group_name_Hall '-P 4 2 3'
_cell_length_a 3.690
_cell_length_b 3.690
_cell_length_c 3.690
_cell_angle_alpha 90.00
_cell_angle_beta 90.00
_cell_angle_gamma 90.00
loop_
_atom_site_label
_atom_site_type_symbol
_atom_site_fract_x
_atom_site_fract_y
_atom_site_fract_z
Co1 Co 0.000 0.000 0.000
Ge1 Ge 0.500 0.500 0.500
O1 O 0.000 0.500 0.500